Run i
A plane-wave DFT calculation with PBE was carried out for BaFe2Br after structural relaxation.

a b c (Å): 3.4464 3.5133 7.8825
angles (deg): 77.05 90.00 90.00
Element x y z (fractional)
1 Ba 0.0000 0.5701 0.4845
2 Br 0.5000 0.9198 0.7840
3 Fe 0.0000 0.7810 0.0637
4 Fe 0.5000 0.2290 0.1678

## Properties
Symmetry   Pm
Crystal system   monoclinic

=====

Run ii
A plane-wave DFT calculation with PBE was carried out for BaFe2Br after structural relaxation.

a b c (Å): 5.2392 5.2392 5.2392
angles (deg): 60.00 60.00 60.00
Element x y z (fractional)
1 Ba 0.5000 0.5000 0.5000
2 Br 0.7500 0.7500 0.7500
3 Fe 0.0000 0.0000 0.0000
4 Fe 0.2500 0.2500 0.2500

## Properties
Symmetry   F-43m
Crystal system   cubic

=====

It is run i that is most stable; the runner-up trails by 0.481 eV/atom.

=====

Run i
A plane-wave DFT calculation with PBE was carried out for BaFe2Br after structural relaxation.

a b c (Å): 3.8959 3.8959 6.7428
angles (deg): 90.00 90.00 90.00
Element x y z (fractional)
1 Ba 0.5000 0.5000 0.2500
2 Br 0.5000 0.5000 0.7500
3 Fe 0.0000 0.0000 0.9161
4 Fe 0.0000 0.0000 0.5839

## Properties
Symmetry   P4/mmm
Crystal system   tetragonal

=====

Run ii
A plane-wave DFT calculation with PBE was carried out for BaFe2Br after structural relaxation.

a b c (Å): 3.7125 4.6870 6.0704
angles (deg): 89.93 90.00 90.00
Element x y z (fractional)
1 Ba 0.5000 0.5000 0.5000
2 Br 0.0000 0.0000 0.5000
3 Fe 0.0000 0.0000 0.0000
4 Fe 0.5000 0.5000 0.0000

## Properties
Symmetry   P2/m
Crystal system   monoclinic

=====

It is run ii that is most stable; the runner-up trails by 0.170 eV/atom.